(1)
Below is Sr2NbPtPb after structural relaxation, with properties calculated at the PBE level.

The structure belongs to space group P4/mmm (No. 123); the cell edges are 6.250, 6.250 and 5.026 Å and the angles 90.00°, 90.00° and 90.00°. The asymmetric unit holds Sr at (0.000, 0.500, 0.000), Nb at (0.000, 0.000, 0.500), Pt at (0.500, 0.500, 0.500) and Pb at (0.500, 0.500, 0.000).

The energy relative to the elements comes out at 0.885 eV/atom. As for the density of states at the Fermi level: 3.395 states/eV per cell.

(2)
Below is HoPu2Np3P6 after structural relaxation, with properties calculated at the PBE level.

The structure belongs to space group C2/m (No. 12); the cell edges are 6.868, 11.895 and 6.881 Å and the angles 90.00°, 109.43° and 90.00°. The asymmetric unit holds Ho at (0.000, 0.000, 0.000), Pu at (0.000, 0.333, 0.000), Np at (0.000, 0.166, 0.500), Np at (0.000, 0.500, 0.500), P at (0.248, 0.333, 0.746) and P at (0.250, 0.000, 0.746).

The energy relative to the elements comes out at -1.053 eV/atom. As for the density of states at the Fermi level: 87.680 states/eV per cell.

(3)
Below is MnH3Rh after structural relaxation, with properties calculated at the PBE level.

The structure belongs to space group P-6 (No. 174); the cell edges are 4.6515, 4.6515 and 2.7475 Å and the angles 90.00°, 90.00° and 120.00°. The asymmetric unit holds Mn at (0.0000, 0.0000, 0.0000), H at (0.3673, 0.2028, 0.5000) and Rh at (0.6667, 0.3333, 0.0000).

The value obtained for the electronic total energy is -5.14 eV per atom. As for the density of states at the Fermi level: 1.887 states/eV per cell.

(4)
Below is RbRe3W after structural relaxation, with properties calculated at the PBE level.

The structure belongs to space group Pm-3m (No. 221); the cell edges are 4.578, 4.578 and 4.578 Å and the angles 90.00°, 90.00° and 90.00°. The asymmetric unit holds Rb at (0.000, 0.000, 0.000), Re at (0.000, 0.000, 0.500) and W at (0.500, 0.500, 0.500).

The energy relative to the elements comes out at 4.164 eV/atom. The value obtained for the excess energy over the best structure of this formula in the dataset is 1.869 eV per atom. As for the density of states at the Fermi level: 5.297 states/eV per cell.

(5)
Below is In2TeMo after structural relaxation, with properties calculated at the PBE level.

The structure belongs to space group Immm (No. 71); the cell edges are 3.148, 4.525 and 13.937 Å and the angles 90.00°, 90.00° and 90.00°. The asymmetric unit holds In at (0.000, 0.000, 0.188), Te at (0.000, 0.500, 0.000) and Mo at (0.000, 0.500, 0.500).

The value obtained for the electronic total energy is -4.53 eV per atom. As for the density of states at the Fermi level: 6.113 states/eV per cell.

(6)
Below is Ba2CdGeAu6 after structural relaxation, with properties calculated at the PBE level.

The structure belongs to space group P-1 (No. 2); the cell edges are 6.929, 6.961 and 7.455 Å and the angles 89.80°, 63.25° and 60.25°. The asymmetric unit holds Ba at (0.062, 0.218, 0.158), Cd at (0.500, 0.500, 0.000), Ge at (0.500, 0.000, 0.500), Au at (0.008, 0.245, 0.670), Au at (0.396, 0.346, 0.354) and Au at (0.403, 0.756, 0.348).

The energy relative to the elements comes out at -0.431 eV/atom. As for the density of states at the Fermi level: 4.321 states/eV per cell.

(7)
Below is CsIr3Pb after structural relaxation, with properties calculated at the PBE level.

The structure belongs to space group Pm-3m (No. 221); the cell edges are 5.064, 5.064 and 5.064 Å and the angles 90.00°, 90.00° and 90.00°. The asymmetric unit holds Cs at (0.000, 0.000, 0.000), Ir at (0.000, 0.000, 0.500) and Pb at (0.500, 0.500, 0.500).

The energy relative to the elements comes out at 2.685 eV/atom. As for the density of states at the Fermi level: 5.679 states/eV per cell.

(8)
Below is LaZrTc3 after structural relaxation, with properties calculated at the PBE level.

The structure belongs to space group Pm-3m (No. 221); the cell edges are 4.740, 4.740 and 4.740 Å and the angles 90.00°, 90.00° and 90.00°. The asymmetric unit holds La at (0.000, 0.000, 0.000), Zr at (0.500, 0.500, 0.500) and Tc at (0.000, 0.000, 0.500).

The energy relative to the elements comes out at 1.631 eV/atom. The value obtained for the excess energy over the best structure of this formula in the dataset is 0.479 eV per atom. As for the density of states at the Fermi level: 7.315 states/eV per cell.